Entry 1:
Material: CeNd2FeN4
Method: DFT, PBE
State: optimized geometry

Properties
* size of the total moment: 3.8 μB per formula unit
* E_form (uncorrected): -947 meV/atom

abc: 3.493 6.043 12.133
angles: 90.00 90.00 106.80
Each line ends with the local moment (μB).
Fractional positions:
N1 0.723 0.446 0.866  0.12
N2 0.277 0.554 0.366  0.12
N3 0.554 0.109 0.250  0.06
N4 0.000 0.000 0.500  0.06
N5 0.723 0.446 0.634  0.12
N6 0.000 0.000 0.000  0.06
N7 0.446 0.891 0.750  0.06
N8 0.277 0.554 0.134  0.12
Nd1 0.631 0.263 0.449  0.02
Nd2 0.369 0.737 0.551  0.02
Nd3 0.369 0.737 0.949  0.02
Nd4 0.631 0.263 0.051  0.02
Fe1 0.171 0.342 0.250  2.75
Fe2 0.829 0.658 0.750  2.75
Ce1 0.903 0.806 0.250  0.27
Ce2 0.097 0.194 0.750  0.27


Entry 2:
Material: MgAsPb2
Method: DFT, PBE
State: optimized geometry

Properties
* energy relative to the elements: -0.06 eV per atom
* size of the total moment: 0.0 μB per formula unit
* distance to the lowest polymorph of the same formula: 5.1 kJ/mol of atoms

abc: 3.676 3.678 7.680
angles: 90.00 90.00 90.00
Fractional positions:
Mg1 0.500 0.500 0.696
Pb1 0.000 0.000 0.964
Pb2 0.500 0.500 0.290
As1 0.000 0.000 0.550


Entry 3:
Material: SiAg2Sb
Method: DFT, PBE
State: optimized geometry

Properties
* size of the total moment: 0.0 μB per formula unit
* E_form (uncorrected): 251 meV/atom
* distance to the lowest polymorph of the same formula: 0.7 kJ/mol of atoms

abc: 4.602 4.602 5.956
angles: 78.88 78.88 40.62
Fractional positions:
Sb1 0.750 0.750 0.750
Ag1 0.990 0.990 0.045
Ag2 0.510 0.510 0.455
Si1 0.250 0.250 0.250


| no. | Fermi-level density of states (states/eV/cell) |
| --- | --- |
| 1 | 4.3 |
| 2 | 2.1 |
| 3 | 1.1 |